# Tb4Pr6Ho

Crystalline Tb4Pr6Ho at its relaxed geometry (GGA-PBE, the Alexandria database).

Output
* ΔH_f (0 K): 0.280 eV/atom
* D(E_F): 1.587 states/eV/atom
* E_tot: -4.426 eV per atom
* polymorph energy (0 for the lowest one): 0 meV/atom
* total magnetization: 0.00 μB/cell
* SG: I-42m (121)

Cell lengths 9.9945, 9.9945, 9.9945 Å; angles 55.96, 141.25, 141.25 degrees
Last column: nearest neighbours and their distance in Å.
Fractional positions:
Tb 0.0000 0.0105 0.6395  5 Pr 3.35-3.55, 1 Tb 3.48, 1 Ho 3.55
Tb 0.3710 0.3605 0.3605  5 Pr 3.35-3.55, 1 Tb 3.48, 1 Ho 3.55
Tb 0.6290 0.9895 0.9895  5 Pr 3.35-3.55, 1 Tb 3.48, 1 Ho 3.55
Tb 0.0000 0.6395 0.0105  5 Pr 3.35-3.55, 1 Tb 3.48, 1 Ho 3.55
Ho 0.0000 0.0000 0.0000  4 Pr 3.32, 4 Tb 3.55
Pr 0.0000 0.8145 0.4565  5 Tb 3.35-3.55, 3 Pr 3.36-3.42
Pr 0.0000 0.4565 0.8145  5 Tb 3.35-3.55, 3 Pr 3.36-3.42
Pr 0.5000 0.5000 0.0000  2 Ho 3.32, 4 Pr 3.42
Pr 0.6420 0.1855 0.1855  5 Tb 3.35-3.55, 3 Pr 3.36-3.42
Pr 0.5000 0.0000 0.5000  2 Ho 3.32, 4 Pr 3.42
Pr 0.3580 0.5435 0.5435  5 Tb 3.35-3.55, 3 Pr 3.36-3.42

=====

# Tb6PrHo2

Crystalline Tb6PrHo2 at its relaxed geometry (GGA-PBE, the Alexandria database).

Output
* ΔH_f (0 K): 0.017 eV/atom
* D(E_F): 1.405 states/eV/atom
* E_tot: -4.618 eV per atom
* polymorph energy (0 for the lowest one): 0 meV/atom
* total magnetization: 0.00 μB/cell
* SG: P-1 (2)

Cell lengths 3.5736, 8.7360, 12.8475 Å; angles 132.72, 81.99, 90.06 degrees
Last column: nearest neighbours and their distance in Å.
Fractional positions:
Tb 0.3324 0.3361 0.3357  9 Tb 3.53-3.58, 2 Pr 3.59, 1 Ho 3.60
Tb 0.2217 0.8909 0.5562  10 Tb 3.54-3.57, 2 Ho 3.56
Tb 0.7783 0.1091 0.4438  10 Tb 3.54-3.57, 2 Ho 3.56
Tb 0.1111 0.4426 0.7774  4 Ho 3.53-3.58, 7 Tb 3.54-3.58, 1 Pr 3.58
Tb 0.6676 0.6639 0.6643  9 Tb 3.53-3.58, 2 Pr 3.59, 1 Ho 3.60
Tb 0.8889 0.5574 0.2226  4 Ho 3.53-3.58, 7 Tb 3.54-3.58, 1 Pr 3.58
Ho 0.5558 0.2245 0.8884  7 Tb 3.53-3.60, 3 Ho 3.54-3.57, 2 Pr 3.59
Ho 0.4442 0.7755 0.1116  7 Tb 3.53-3.60, 3 Ho 3.54-3.57, 2 Pr 3.59
Pr 0.0000 0.0000 0.0000  2 Pr 3.57, 6 Tb 3.58-3.59, 4 Ho 3.59

=====

# TbPr4Ho5

Crystalline TbPr4Ho5 at its relaxed geometry (GGA-PBE, the Alexandria database).

Output
* ΔH_f (0 K): 0.020 eV/atom
* D(E_F): 1.406 states/eV/atom
* E_tot: -4.644 eV per atom
* polymorph energy (0 for the lowest one): 0 meV/atom
* total magnetization: 0.00 μB/cell
* SG: P4/mmm (123)

Cell lengths 3.6183, 3.6183, 25.2701 Å; angles 90.00, 90.00, 90.00 degrees
Last column: nearest neighbours and their distance in Å.
Fractional positions:
Tb 0.0000 0.0000 0.0000  8 Ho 3.54, 4 Tb 3.62
Pr 0.0000 0.0000 0.6007  8 Ho 3.61, 4 Pr 3.62
Pr 0.0000 0.0000 0.1982  8 Ho 3.60-3.62, 4 Pr 3.62
Pr 0.0000 0.0000 0.3993  8 Ho 3.61, 4 Pr 3.62
Pr 0.0000 0.0000 0.8018  8 Ho 3.60-3.62, 4 Pr 3.62
Ho 0.5000 0.5000 0.7015  8 Pr 3.60-3.61, 4 Ho 3.62
Ho 0.5000 0.5000 0.5000  8 Pr 3.61, 4 Ho 3.62
Ho 0.5000 0.5000 0.2985  8 Pr 3.60-3.61, 4 Ho 3.62
Ho 0.5000 0.5000 0.0969  4 Tb 3.54, 4 Pr 3.62, 4 Ho 3.62
Ho 0.5000 0.5000 0.9031  4 Tb 3.54, 4 Pr 3.62, 4 Ho 3.62

=====

# TbPr4Ho3

Crystalline TbPr4Ho3 at its relaxed geometry (GGA-PBE, the Alexandria database).

Output
* ΔH_f (0 K): 0.027 eV/atom
* D(E_F): 1.630 states/eV/atom
* E_tot: -4.658 eV per atom
* polymorph energy (0 for the lowest one): 0 meV/atom
* total magnetization: 0.00 μB/cell
* SG: Pmmn (59)

Cell lengths 5.1315, 10.2323, 10.2632 Å; angles 90.00, 90.00, 90.00 degrees
Last column: nearest neighbours and their distance in Å.
Fractional positions:
Ho 0.0644 0.3808 0.5000  2 Tb 3.54, 6 Ho 3.54-3.63, 4 Pr 3.63
Ho 0.5644 0.3811 0.7499  3 Tb 3.54-3.63, 5 Ho 3.54-3.63, 4 Pr 3.63
Ho 0.5644 0.3811 0.2501  3 Tb 3.54-3.63, 5 Ho 3.54-3.63, 4 Pr 3.63
Ho 0.0644 0.6189 0.2499  3 Tb 3.54-3.63, 5 Ho 3.54-3.63, 4 Pr 3.63
Ho 0.5644 0.6192 0.0000  2 Tb 3.54, 6 Ho 3.54-3.63, 4 Pr 3.63
Ho 0.0644 0.6189 0.7501  3 Tb 3.54-3.63, 5 Ho 3.54-3.63, 4 Pr 3.63
Pr 0.0644 0.8696 0.0000  4 Ho 3.63, 8 Pr 3.63-3.70
Pr 0.5644 0.8699 0.7502  3 Ho 3.63, 8 Pr 3.63-3.70, 1 Tb 3.63
Pr 0.0644 0.1301 0.2502  3 Ho 3.63, 8 Pr 3.63-3.70, 1 Tb 3.63
Pr 0.0644 0.8698 0.5000  2 Tb 3.63, 8 Pr 3.63-3.70, 2 Ho 3.63
Pr 0.5644 0.8699 0.2498  3 Ho 3.63, 8 Pr 3.63-3.70, 1 Tb 3.63
Pr 0.5644 0.1304 0.5000  4 Ho 3.63, 8 Pr 3.63-3.70
Pr 0.0644 0.1301 0.7498  3 Ho 3.63, 8 Pr 3.63-3.70, 1 Tb 3.63
Pr 0.5644 0.1302 0.0000  2 Tb 3.63, 8 Pr 3.63-3.70, 2 Ho 3.63
Tb 0.0644 0.3811 0.0000  8 Ho 3.54-3.63, 4 Pr 3.63
Tb 0.5644 0.6189 0.5000  8 Ho 3.54-3.63, 4 Pr 3.63

=====

# TbPr7Ho12

Crystalline TbPr7Ho12 at its relaxed geometry (GGA-PBE, the Alexandria database).

Output
* ΔH_f (0 K): 0.228 eV/atom
* D(E_F): 1.816 states/eV/atom
* E_tot: -4.423 eV per atom
* polymorph energy (0 for the lowest one): 0 meV/atom
* total magnetization: 0.00 μB/cell
* SG: R-3 (148)

Cell lengths 8.8113, 8.8113, 8.8113 Å; angles 85.97, 85.97, 85.97 degrees
Last column: nearest neighbours and their distance in Å.
Fractional positions:
Ho 0.8646 0.5032 0.3836  5 Ho 3.25-3.62, 2 Pr 3.30-3.48
Ho 0.3836 0.8646 0.5032  5 Ho 3.25-3.62, 2 Pr 3.30-3.48
Ho 0.2518 0.7267 0.8555  4 Ho 3.28-3.62, 1 Tb 3.41, 2 Pr 3.51-3.61
Ho 0.7482 0.2733 0.1445  4 Ho 3.28-3.62, 1 Tb 3.41, 2 Pr 3.51-3.61
Ho 0.5032 0.3836 0.8646  5 Ho 3.25-3.62, 2 Pr 3.30-3.48
Ho 0.2733 0.1445 0.7482  4 Ho 3.28-3.62, 1 Tb 3.41, 2 Pr 3.51-3.61
Ho 0.6164 0.1354 0.4968  5 Ho 3.25-3.62, 2 Pr 3.30-3.48
Ho 0.1354 0.4968 0.6164  5 Ho 3.25-3.62, 2 Pr 3.30-3.48
Ho 0.7267 0.8555 0.2518  4 Ho 3.28-3.62, 1 Tb 3.41, 2 Pr 3.51-3.61
Ho 0.4968 0.6164 0.1354  5 Ho 3.25-3.62, 2 Pr 3.30-3.48
Ho 0.1445 0.7482 0.2733  4 Ho 3.28-3.62, 1 Tb 3.41, 2 Pr 3.51-3.61
Ho 0.8555 0.2518 0.7267  4 Ho 3.28-3.62, 1 Tb 3.41, 2 Pr 3.51-3.61
Pr 0.3987 0.0810 0.1566  3 Pr 3.45-3.51, 7 Ho 3.48-3.85
Pr 0.8434 0.6013 0.9190  3 Pr 3.45-3.51, 7 Ho 3.48-3.85
Pr 0.1566 0.3987 0.0810  3 Pr 3.45-3.51, 7 Ho 3.48-3.85
Pr 0.0810 0.1566 0.3987  3 Pr 3.45-3.51, 7 Ho 3.48-3.85
Pr 0.5000 0.5000 0.5000  6 Ho 3.30
Pr 0.6013 0.9190 0.8434  3 Pr 3.45-3.51, 7 Ho 3.48-3.85
Pr 0.9190 0.8434 0.6013  3 Pr 3.45-3.51, 7 Ho 3.48-3.85
Tb 0.0000 0.0000 0.0000  6 Ho 3.41

=====

# Tb8Pr3Ho2

Crystalline Tb8Pr3Ho2 at its relaxed geometry (GGA-PBE, the Alexandria database).

Output
* ΔH_f (0 K): 0.241 eV/atom
* D(E_F): 1.627 states/eV/atom
* E_tot: -4.416 eV per atom
* polymorph energy (0 for the lowest one): 70 meV/atom
* total magnetization: 0.00 μB/cell
* SG: C2/m (12)

Cell lengths 5.6891, 7.7472, 10.7937 Å; angles 111.03, 90.03, 90.00 degrees
Last column: nearest neighbours and their distance in Å.
Fractional positions:
Ho 0.5010 0.7585 0.5170  8 Tb 3.32-3.55
Ho 0.4990 0.2415 0.4830  8 Tb 3.32-3.55
Tb 0.9996 0.1363 0.2725  2 Ho 3.54-3.55, 4 Pr 3.56-3.96, 7 Tb 3.67-3.94
Tb 0.0004 0.8637 0.7275  2 Ho 3.54-3.55, 4 Pr 3.56-3.96, 7 Tb 3.67-3.94
Tb 0.4998 0.1819 0.7810  1 Pr 3.16, 3 Tb 3.23-3.52, 2 Ho 3.41-3.49
Tb 0.4998 0.5991 0.7810  1 Pr 3.16, 3 Tb 3.23-3.52, 2 Ho 3.41-3.49
Tb 0.5002 0.4009 0.2190  1 Pr 3.16, 3 Tb 3.23-3.52, 2 Ho 3.41-3.49
Tb 0.5002 0.8181 0.2190  1 Pr 3.16, 3 Tb 3.23-3.52, 2 Ho 3.41-3.49
Tb 0.9992 0.3269 0.6539  2 Ho 3.32, 4 Tb 3.51-3.52
Tb 0.0008 0.6731 0.3461  2 Ho 3.32, 4 Tb 3.51-3.52
Pr 0.0000 0.2924 0.0000  1 Pr 3.22, 6 Tb 3.56-3.60
Pr 0.0000 0.7076 0.0000  1 Pr 3.22, 6 Tb 3.56-3.60
Pr 0.5000 0.0000 0.0000  4 Tb 3.16

=====

# TbPr2Ho2

Crystalline TbPr2Ho2 at its relaxed geometry (GGA-PBE, the Alexandria database).

Output
* ΔH_f (0 K): 0.008 eV/atom
* D(E_F): 1.263 states/eV/atom
* E_tot: -4.661 eV per atom
* polymorph energy (0 for the lowest one): 0 meV/atom
* total magnetization: 0.00 μB/cell
* SG: C2/m (12)

Cell lengths 3.6233, 3.6194, 16.4274 Å; angles 63.99, 83.67, 59.96 degrees
Last column: nearest neighbours and their distance in Å.
Fractional positions:
Pr 0.7605 0.5857 0.8932  3 Ho 3.59, 9 Pr 3.62-3.77
Pr 0.2395 0.4143 0.1068  3 Ho 3.59, 9 Pr 3.62-3.77
Ho 0.7055 0.2825 0.3064  3 Tb 3.52, 3 Pr 3.59, 6 Ho 3.62
Ho 0.2945 0.7175 0.6936  3 Tb 3.52, 3 Pr 3.59, 6 Ho 3.62
Tb 0.5000 0.5000 0.5000  6 Ho 3.52, 6 Tb 3.62

=====

# Tb4PrHo7

Crystalline Tb4PrHo7 at its relaxed geometry (GGA-PBE, the Alexandria database).

Output
* ΔH_f (0 K): 0.001 eV/atom
* D(E_F): 1.371 states/eV/atom
* E_tot: -4.611 eV per atom
* total magnetization: 0.00 μB/cell
* SG: P-1 (2)

Cell lengths 7.1692, 9.4728, 8.8288 Å; angles 81.06, 90.02, 40.92 degrees
Last column: nearest neighbours and their distance in Å.
Fractional positions:
Ho 0.9721 0.2789 0.6655  6 Tb 3.49-3.60, 5 Ho 3.52-3.59, 1 Pr 3.54
Ho 0.2497 0.5000 0.0002  3 Tb 3.53-3.54, 7 Ho 3.53-3.59, 2 Pr 3.58-3.59
Ho 0.5000 0.0000 0.0000  6 Ho 3.53-3.58, 4 Tb 3.53-3.54, 2 Pr 3.58
Ho 0.2219 0.7784 0.6658  6 Ho 3.51-3.59, 5 Tb 3.52-3.59, 1 Pr 3.54
Ho 0.0279 0.7211 0.3345  6 Tb 3.49-3.60, 5 Ho 3.52-3.59, 1 Pr 3.54
Ho 0.7781 0.2216 0.3342  6 Ho 3.51-3.59, 5 Tb 3.52-3.59, 1 Pr 3.54
Ho 0.7503 0.5000 0.9998  3 Tb 3.53-3.54, 7 Ho 3.53-3.59, 2 Pr 3.58-3.59
Tb 0.7215 0.7787 0.6662  4 Tb 3.51-3.58, 8 Ho 3.52-3.59
Tb 0.5300 0.7206 0.3352  8 Ho 3.49-3.60, 3 Tb 3.52-3.58, 1 Pr 3.54
Tb 0.4700 0.2794 0.6648  8 Ho 3.49-3.60, 3 Tb 3.52-3.58, 1 Pr 3.54
Tb 0.2785 0.2213 0.3338  4 Tb 3.51-3.58, 8 Ho 3.52-3.59
Pr 0.0000 0.0000 0.0000  10 Ho 3.54-3.59, 2 Tb 3.54

=====

Q: Among the records above, which one has the lowest E_tot?
A: TbPr2Ho2